Entry from Alexandria via LeMat-Bulk: a relaxed RbMo3Cl7 crystal (PBEsol).

Cell and atoms, written as CIF:
```
data_RbMo3Cl7
_symmetry_space_group_name_H-M 'C 1 2/c 1'
_symmetry_Int_Tables_number 15
_cell_length_a 19.471
_cell_length_b 14.733
_cell_length_c 9.429
_cell_angle_alpha 90.00
_cell_angle_beta 116.21
_cell_angle_gamma 90.00
loop_
_symmetry_equiv_pos_as_xyz
'x,y,z'
'-x,-y,-z'
'-x,y,-z+1/2'
'x,-y,z+1/2'
'x+1/2,y+1/2,z'
'-x+1/2,-y+1/2,-z'
'-x+1/2,y+1/2,-z+1/2'
'x+1/2,-y+1/2,z+1/2'
loop_
_atom_site_label
_atom_site_type_symbol
_atom_site_fract_x
_atom_site_fract_y
_atom_site_fract_z
Rb1 Rb 0.000 0.000 0.000
Rb2 Rb 0.000 0.429 0.250
Mo1 Mo 0.172 0.311 0.841
Mo2 Mo 0.195 0.145 0.941
Mo3 Mo 0.208 0.276 0.136
Cl1 Cl 0.068 0.394 0.632
Cl2 Cl 0.083 0.233 0.923
Cl3 Cl 0.120 0.004 0.862
Cl4 Cl 0.151 0.310 0.311
Cl5 Cl 0.163 0.184 0.666
Cl6 Cl 0.189 0.432 0.033
Cl7 Cl 0.232 0.118 0.223
```

Calculated values
theoretical density	3.4	g/cm3
DOS at the Fermi energy	0.000	states/eV per atom
total moment	0.000	μB per formula unit
uncorrected formation energy	-1161	meV per atom